[1]
A relaxed structure of LaYCoCu. Source: Alexandria via LeMat-Bulk, functional PBE.

Properties
Distance to the lowest polymorph of the same formula (kJ/mol of formula units): 26
Calculated formation energy (eV per atom): -0.091

Lattice parameters (Å, degrees): 4.9455 4.9455 4.9455 60.00 60.00 60.00
Closest atoms and distances in Å follow each position.
Sites, in units of the cell vectors:
Co: 0.7500 0.7500 0.7500  4 La 3.03, 4 Y 3.03
Cu: 0.2500 0.2500 0.2500  4 La 3.03, 4 Y 3.03
La: 0.5000 0.5000 0.5000  4 Cu 3.03, 4 Co 3.03
Y: 0.0000 0.0000 0.0000  4 Cu 3.03, 4 Co 3.03

---

[2]
A relaxed structure of LiCoCu2. Source: Alexandria via LeMat-Bulk, functional PBE.

Properties
Distance to the lowest polymorph of the same formula (kJ/mol of formula units): 15
Calculated formation energy (eV per atom): 0.102

Lattice parameters (Å, degrees): 2.4652 2.4652 8.5877 90.00 90.00 113.73
Closest atoms and distances in Å follow each position.
Sites, in units of the cell vectors:
Cu: 0.0000 0.0000 0.9974  8 Cu 2.47-2.70, 2 Co 2.50
Cu: 0.5000 0.5000 0.2471  8 Cu 2.47-2.70, 2 Li 2.58
Co: 0.5000 0.5000 0.7524  6 Co 2.47-2.70, 2 Cu 2.50, 2 Li 2.53
Li: 0.0000 0.0000 0.5031  6 Li 2.47-2.70, 2 Co 2.53, 2 Cu 2.58

---

[3]
A relaxed structure of LiCoCu. Source: Alexandria via LeMat-Bulk, functional PBE.

Properties
Distance to the lowest polymorph of the same formula (kJ/mol of formula units): 25
Calculated formation energy (eV per atom): 0.189

Lattice parameters (Å, degrees): 4.4391 4.4391 4.4391 148.45 128.69 61.49
Closest atoms and distances in Å follow each position.
Sites, in units of the cell vectors:
Li: 0.6674 0.6674 0.0000  2 Li 2.41, 5 Co 2.50-2.62, 5 Cu 2.52-2.61
Co: 0.9950 0.9950 0.0000  2 Co 2.41, 5 Li 2.50-2.62, 5 Cu 2.57-2.61
Cu: 0.3376 0.3376 0.0000  2 Cu 2.41, 5 Li 2.52-2.61, 5 Co 2.57-2.61

---

[4]
A relaxed structure of LiCoCu2. Source: Alexandria via LeMat-Bulk, functional PBE.

Properties
Distance to the lowest polymorph of the same formula (kJ/mol of formula units): 8
Calculated formation energy (eV per atom): 0.084

Lattice parameters (Å, degrees): 4.4704 4.4704 4.4901 82.29 82.29 31.93
Closest atoms and distances in Å follow each position.
Sites, in units of the cell vectors:
Cu: 0.0003 0.0003 0.0153  5 Cu 2.46-2.66, 3 Co 2.51-2.53, 4 Li 2.53-2.59
Cu: 0.7443 0.7443 0.7424  5 Cu 2.46-2.66, 3 Li 2.49-2.60, 4 Co 2.54-2.58
Li: 0.4986 0.4986 0.5088  2 Li 2.46, 7 Cu 2.49-2.60, 3 Co 2.56-2.68
Co: 0.2567 0.2567 0.2335  2 Co 2.46, 7 Cu 2.51-2.58, 3 Li 2.56-2.68